(1)
MgScCu (GGA-PBEsol, relaxed); calculated formation energy = 590 meV per atom; V = 21.612 A^3/atom; raw total energy = -3.6286 eV per atom
1.0
-3.127 -1.484 -2.890
-3.199 -2.850 1.407
-4.267 1.408 0.376
Mg Cu Sc
1 1 1
direct
0.500 0.500 0.500 Mg
0.000 0.000 0.000 Cu
0.750 0.750 0.750 Sc

(2)
MgCuSe2 (GGA-PBEsol, relaxed); V = 22.905 A^3/atom; E_form (uncorrected) = -0.559 eV per atom; raw total energy = -3.9972 eV per atom
1.0
-2.853 -0.800 -4.883
-0.827 -5.481 1.381
-2.957 4.514 4.329
Se Mg Cu
4 2 2
direct
0.125 0.093 0.750 Se
0.907 0.375 0.250 Se
0.343 0.875 0.250 Se
0.625 0.657 0.750 Se
0.750 0.250 0.500 Mg
0.500 0.500 0.000 Mg
0.250 0.750 0.500 Cu
0.000 0.000 0.000 Cu

(3)
Mg2CuSe3 (GGA-PBEsol, relaxed); V = 20.864 A^3/atom; E_form (uncorrected) = -0.777 eV per atom; raw total energy = -3.9972 eV per atom
1.0
-3.812 2.353 -4.728
-2.361 -0.732 6.026
1.988 6.332 1.548
Mg Se Cu
4 6 2
direct
0.333 0.667 0.500 Mg
0.333 0.667 0.000 Mg
0.667 0.333 0.000 Mg
0.667 0.333 0.500 Mg
0.649 0.000 0.750 Se
0.000 0.649 0.750 Se
0.000 0.351 0.250 Se
0.649 0.649 0.250 Se
0.351 0.000 0.250 Se
0.351 0.351 0.750 Se
0.000 0.000 0.750 Cu
0.000 0.000 0.250 Cu

(4)
MgCuSe2 (GGA-PBEsol, relaxed); V = 18.234 A^3/atom; E_form (uncorrected) = -0.541 eV per atom; raw total energy = -3.9793 eV per atom
1.0
-3.537 1.057 0.511
-2.441 -2.328 1.586
-0.571 1.777 6.179
Se Cu Mg
2 1 1
direct
0.759 0.759 0.229 Se
0.241 0.241 0.771 Se
0.500 0.500 0.000 Cu
0.000 0.000 0.500 Mg